Material: YSb2Pb
Method: DFT, PBE-GGA
State: optimized geometry

The calculation puts the energy relative to the elements, uncorrected at -360 meV/atom. The crystal system is orthorhombic. The space group is No. 71. The total energy is -19.86 eV for the cell shown.

Unit cell a=5.8233 b=5.8233 c=5.8233 alpha=135.09 beta=123.20 gamma=75.18
Fractional positions:
Pb: 0.2500 0.7500 0.5000
Sb: 0.4976 0.4976 0.0000
Sb: 0.0024 0.0024 0.0000
Y: 0.7500 0.2500 0.5000